Material: LaMn3Be
Method: DFT, PBE
State: optimized geometry

Lattice parameters (Å, degrees): 4.3223 4.3223 4.3223 90.00 90.00 90.00
Closest atoms and distances in Å follow each position.
Fractional coordinates of all 5 atoms:
La 0.5000 0.5000 0.5000  12 Mn 3.06
Mn 0.0000 0.5000 0.0000  2 Be 2.16
Mn 0.5000 0.0000 0.0000  2 Be 2.16
Mn 0.0000 0.0000 0.5000  2 Be 2.16
Be 0.0000 0.0000 0.0000  6 Mn 2.16

Summary:
energy of formation	391	meV per atom
relative energy among the computed polymorphs	0	meV/atom

Material: RhWN2
Method: DFT, PBE
State: optimized geometry

Lattice parameters (Å, degrees): 6.6148 6.6148 6.6148 25.62 25.62 25.62
Closest atoms and distances in Å follow each position.
Fractional coordinates of all 4 atoms:
N 0.1042 0.1042 0.1042  1 Rh 2.00, 3 W 2.07
W 0.5000 0.5000 0.5000  6 N 2.07
N 0.8958 0.8958 0.8958  1 Rh 2.00, 3 W 2.07
Rh 0.0000 0.0000 0.0000  2 N 2.00

Summary:
formation energy (no corrections)	0.048	eV/atom

Material: Y2MnZn
Method: DFT, PBE
State: optimized geometry

Lattice parameters (Å, degrees): 6.1104 6.1104 4.8959 66.24 66.24 33.18
Closest atoms and distances in Å follow each position.
Fractional coordinates of all 4 atoms:
Mn 0.2129 0.2129 0.2884  2 Zn 2.61
Zn 0.5301 0.5301 0.4686  2 Mn 2.61
Y 0.9838 0.9838 0.0153  4 Zn 3.05, 2 Y 3.32, 2 Mn 3.37
Y 0.7731 0.7731 0.7278  4 Mn 3.07, 2 Zn 3.24, 2 Y 3.32

Summary:
energy of formation	-21	meV per atom

Material: Pm2CoCu
Method: DFT, PBE
State: optimized geometry

Lattice parameters (Å, degrees): 4.9460 4.9460 4.9460 60.00 60.00 60.00
Closest atoms and distances in Å follow each position.
Fractional coordinates of all 4 atoms:
Co 0.5000 0.5000 0.5000  8 Pm 3.03
Pm 0.7500 0.7500 0.7500  4 Co 3.03, 4 Cu 3.03
Cu 0.0000 0.0000 0.0000  8 Pm 3.03
Pm 0.2500 0.2500 0.2500  4 Cu 3.03, 4 Co 3.03

Summary:
energy of formation	-71	meV per atom
relative energy among the computed polymorphs	75	meV/atom

Material: AlTe2Ir
Method: DFT, PBE
State: optimized geometry

Lattice parameters (Å, degrees): 3.8032 3.8018 6.9516 90.07 90.00 90.00
Closest atoms and distances in Å follow each position.
Fractional coordinates of all 4 atoms:
Al 0.0000 0.3751 0.6249  4 Ir 2.69, 4 Te 2.74
Ir 0.5000 0.8751 0.6250  4 Al 2.69, 4 Te 2.74
Te 0.0000 0.8755 0.9080  2 Al 2.74, 2 Ir 2.74
Te 0.5000 0.3744 0.3420  2 Ir 2.74, 2 Al 2.74

Summary:
relative energy among the computed polymorphs	56	meV/atom
formation energy (no corrections)	-0.199	eV/atom

Material: SrRe2P
Method: DFT, PBE
State: optimized geometry

Lattice parameters (Å, degrees): 6.1911 6.1911 2.7260 77.36 77.36 126.17
Closest atoms and distances in Å follow each position.
Fractional coordinates of all 4 atoms:
Sr 0.0000 0.0000 0.5000  2 Sr 2.73, 4 P 2.80-2.81
Re 0.5000 0.0000 0.0000  6 Re 2.73-2.81
P 0.5000 0.5000 0.5000  2 P 2.73, 4 Sr 2.80-2.81
Re 0.0000 0.5000 0.0000  6 Re 2.73-2.81

Summary:
energy of formation	839	meV per atom